[1]
{"formula": "Si3HgCl12", "functional": "PBE", "state": "relaxed", "lattice": [[11.554, 0.000, 5.579], [4.430, 10.671, 5.579], [0.876, 0.585, 12.938]], "species": ["Si", "Si", "Si", "Si", "Si", "Si", "Hg", "Hg", "Cl", "Cl", "Cl", "Cl", "Cl", "Cl", "Cl", "Cl", "Cl", "Cl", "Cl", "Cl", "Cl", "Cl", "Cl", "Cl", "Cl", "Cl", "Cl", "Cl", "Cl", "Cl", "Cl", "Cl"], "fractional_positions": [[0.628, 0.384, 0.991], [0.128, 0.497, 0.491], [0.884, 0.128, 0.491], [0.384, 0.997, 0.991], [0.997, 0.628, 0.991], [0.497, 0.884, 0.491], [0.018, 0.018, 0.946], [0.518, 0.518, 0.446], [0.204, 0.074, 0.098], [0.174, 0.305, 0.575], [0.001, 0.953, 0.474], [0.759, 0.386, 0.818], [0.259, 0.537, 0.318], [0.501, 0.072, 0.974], [0.674, 0.446, 0.075], [0.953, 0.572, 0.474], [0.704, 0.125, 0.598], [0.946, 0.174, 0.575], [0.886, 0.259, 0.318], [0.125, 0.574, 0.598], [0.072, 0.453, 0.974], [0.625, 0.204, 0.098], [0.386, 0.037, 0.818], [0.446, 0.805, 0.075], [0.805, 0.674, 0.075], [0.453, 0.501, 0.974], [0.574, 0.704, 0.598], [0.037, 0.759, 0.818], [0.537, 0.886, 0.318], [0.074, 0.625, 0.098], [0.305, 0.946, 0.575], [0.572, 0.001, 0.474]], "crystal_system": "trigonal", "total_magnetization_mub_per_fu": 0.00, "e_form_raw_ev_per_atom": -1.161, "energy_ev_per_atom": -3.582}

=====

[2]
{"formula": "LaWAu2", "functional": "PBE", "state": "relaxed", "lattice": [[-4.710, 1.339, 0.783], [-2.588, -2.076, 3.685], [-1.185, 2.669, 4.008]], "species": ["Au", "Au", "La", "W"], "fractional_positions": [[0.000, 0.000, 0.000], [0.250, 0.250, 0.250], [0.500, 0.500, 0.500], [0.750, 0.750, 0.750]], "crystal_system": "cubic", "total_magnetization_mub_per_fu": 3.05, "energy_ev_per_atom": -5.667, "formation_energy_ev_per_atom": 0.4417}

=====

[3]
{"formula": "La2TbHo4Er", "functional": "PBE", "state": "relaxed", "lattice": [[9.345, -0.024, -1.781], [-0.031, 9.345, -1.781], [-5.907, -5.911, 8.374]], "species": ["La", "La", "La", "La", "Tb", "Tb", "Ho", "Ho", "Ho", "Ho", "Ho", "Ho", "Ho", "Ho", "Er", "Er"], "fractional_positions": [[0.500, 0.000, 0.000], [0.500, 0.000, 0.500], [0.000, 0.000, 0.500], [0.500, 0.500, 0.000], [0.500, 0.500, 0.500], [0.000, 0.000, 0.000], [0.244, 0.749, 0.996], [0.751, 0.256, 0.504], [0.249, 0.744, 0.496], [0.756, 0.251, 0.004], [0.751, 0.746, 0.996], [0.754, 0.749, 0.504], [0.246, 0.251, 0.496], [0.249, 0.254, 0.004], [0.000, 0.500, 0.000], [0.000, 0.500, 0.500]], "crystal_system": "monoclinic", "total_magnetization_mub_per_fu": 0.12, "energy_ev_per_atom": -4.256, "formation_energy_ev_per_atom": 0.4136}

=====

[4]
{"formula": "Na3AgF7", "functional": "PBE", "state": "relaxed", "lattice": [[5.004, 0.209, 2.385], [-0.947, 4.918, 2.385], [-0.278, -0.352, 6.151]], "species": ["Na", "Na", "Na", "Ag", "F", "F", "F", "F", "F", "F", "F"], "fractional_positions": [[0.781, 0.234, 0.474], [0.511, 0.511, 0.932], [0.234, 0.781, 0.474], [0.015, 0.015, 0.969], [0.171, 0.171, 0.165], [0.672, 0.071, 0.210], [0.963, 0.351, 0.721], [0.071, 0.672, 0.210], [0.513, 0.513, 0.575], [0.351, 0.963, 0.721], [0.843, 0.843, 0.797]], "crystal_system": "monoclinic", "total_magnetization_mub_per_fu": 1.29, "e_form_raw_ev_per_atom": -1.894, "energy_ev_per_atom": -3.704}

=====

[5]
{"formula": "Ca4Pu3NpN8", "functional": "PBE", "state": "relaxed", "lattice": [[-4.249, 5.427, 1.205], [-5.508, -4.240, -0.323], [5.248, -1.383, 4.416]], "species": ["Ca", "Ca", "Ca", "Ca", "Pu", "Pu", "Pu", "Np", "N", "N", "N", "N", "N", "N", "N", "N"], "fractional_positions": [[0.500, 0.000, 0.000], [0.500, 0.000, 0.500], [0.000, 0.000, 0.000], [0.000, 0.000, 0.500], [0.500, 0.500, 0.000], [0.500, 0.500, 0.500], [0.000, 0.500, 0.500], [0.000, 0.500, 0.000], [0.233, 0.714, 0.980], [0.233, 0.714, 0.467], [0.263, 0.289, 0.526], [0.747, 0.714, 0.980], [0.253, 0.286, 0.020], [0.737, 0.711, 0.474], [0.767, 0.286, 0.533], [0.767, 0.286, 0.020]], "crystal_system": "trigonal", "total_magnetization_mub_per_fu": 15.00, "e_form_raw_ev_per_atom": -1.204, "energy_ev_per_atom": -9.364}

=====

[6]
{"formula": "AcTbNd2Sb4", "functional": "PBE", "state": "relaxed", "lattice": [[4.571, 0.000, 0.000], [0.000, 7.913, -0.161], [0.000, 2.780, 7.404]], "species": ["Ac", "Tb", "Nd", "Nd", "Sb", "Sb", "Sb", "Sb"], "fractional_positions": [[0.500, 0.500, 0.000], [0.000, 0.500, 0.500], [0.000, 0.000, 0.000], [0.500, 0.000, 0.500], [0.000, 0.757, 0.737], [0.000, 0.243, 0.263], [0.500, 0.750, 0.260], [0.500, 0.250, 0.740]], "crystal_system": "monoclinic", "total_magnetization_mub_per_fu": 0.00, "e_form_raw_ev_per_atom": -1.157, "energy_ev_per_atom": -5.503}

=====

[7]
{"formula": "Sr2LiRe", "functional": "PBE", "state": "relaxed", "lattice": [[-2.561, -1.329, 2.124], [2.452, -0.705, 2.516], [-1.269, 8.001, 3.478]], "species": ["Li", "Re", "Sr", "Sr"], "fractional_positions": [[0.000, 0.000, 0.572], [0.500, 0.500, 0.683], [0.000, 0.000, 0.918], [0.500, 0.500, 0.327]], "crystal_system": "tetragonal", "total_magnetization_mub_per_fu": 1.74, "energy_ev_per_atom": -3.610, "formation_energy_ev_per_atom": 0.8218}

=====

[8]
{"formula": "Er3Fe7Si2", "functional": "PBE", "state": "relaxed", "lattice": [[4.887, 0.000, 1.530], [2.204, 4.362, 1.530], [0.067, 0.041, 8.358]], "species": ["Er", "Er", "Er", "Fe", "Fe", "Fe", "Fe", "Fe", "Fe", "Fe", "Si", "Si"], "fractional_positions": [[0.000, 0.000, 0.000], [0.859, 0.859, 0.424], [0.141, 0.141, 0.576], [0.500, 0.500, 0.500], [0.918, 0.421, 0.240], [0.421, 0.918, 0.240], [0.421, 0.421, 0.240], [0.082, 0.579, 0.760], [0.579, 0.579, 0.760], [0.579, 0.082, 0.760], [0.667, 0.667, 0.998], [0.333, 0.333, 0.002]], "crystal_system": "trigonal", "total_magnetization_mub_per_fu": 10.64, "e_form_raw_ev_per_atom": -0.359, "energy_ev_per_atom": -7.340}